No. 1
The following is a DFT calculation (PBE) of a relaxed UTlRu2 crystal.

Summary:
ΔE to the lowest computed polymorph: 0.0 kJ/mol of atoms
formation enthalpy at 0 K: 0.01 eV/atom

Structure (POSCAR):
```
UTlRu2
1.0
4.4926 0.0000 0.0000
0.0000 4.4926 0.0000
0.0000 0.0000 3.6248
U Tl Ru
1 1 2
direct
0.0000 0.0000 0.0000 U
0.5000 0.5000 0.0000 Tl
0.0000 0.5000 0.5000 Ru
0.5000 0.0000 0.5000 Ru
```

***

No. 2
The following is a DFT calculation (PBE) of a relaxed InReTe3 crystal.

Summary:
raw formation energy: 1564 meV per atom
ΔE to the lowest computed polymorph: 100.4 kJ/mol of atoms

Structure (POSCAR):
```
InReTe3
1.0
5.6399 0.0000 0.0000
0.0000 5.6399 0.0000
0.0000 0.0000 5.6399
In Re Te
1 1 3
direct
0.0000 0.0000 0.0000 In
0.5000 0.5000 0.5000 Re
0.0000 0.0000 0.5000 Te
0.0000 0.5000 0.0000 Te
0.5000 0.0000 0.0000 Te
```

***

No. 3
The following is a DFT calculation (PBE) of a relaxed Pm4Nd3Er4 crystal.

Summary:
ΔE to the lowest computed polymorph: 0.0 kJ/mol of atoms
formation enthalpy at 0 K: 0.02 eV/atom

Structure (POSCAR):
```
Pm4Nd3Er4
1.0
19.9119 -2.5423 0.0000
19.9119 2.5423 0.0000
-0.3250 0.0000 3.5991
Pm Nd Er
4 3 4
direct
0.0463 0.0463 0.0460 Pm
0.3169 0.3169 0.3166 Pm
0.6831 0.6831 0.6834 Pm
0.9537 0.9537 0.9540 Pm
0.1370 0.1370 0.1369 Nd
0.5000 0.5000 0.5000 Nd
0.8630 0.8630 0.8631 Nd
0.2280 0.2280 0.2283 Er
0.4084 0.4084 0.4087 Er
0.5916 0.5916 0.5913 Er
0.7720 0.7720 0.7717 Er
```

***

No. 4
The following is a DFT calculation (PBE) of a relaxed TbTeCl crystal.

Summary:
raw formation energy: -1735 meV per atom

Structure (POSCAR):
```
TbTeCl
1.0
3.9499 0.0000 0.0000
0.0003 4.5247 0.0000
0.0836 0.1539 11.1068
Tb Te Cl
2 2 2
direct
0.2457 0.2433 0.1914 Tb
0.7543 0.7567 0.8086 Tb
0.2521 0.2536 0.8988 Te
0.7479 0.7464 0.1012 Te
0.2579 0.7625 0.6405 Cl
0.7421 0.2375 0.3595 Cl
```

***

Which spin magnetization belongs to each record? In order, 1.100; 4.580; 0.000; 0.000 μB per formula unit.
Which energy belongs to each record? In order, -8.04; -3.36; -4.67; -4.94 eV/atom.
Which D(E_F) belongs to each record? In order, 1.56; 1.57; 1.31; 0.02 states/eV per atom.